[1]
# La2CoAgH

A relaxed La2CoAgH crystal (PBE, Alexandria via LeMat-Bulk).

a b c (Å): 5.272 5.272 3.610
angles (deg): 90.00 90.00 90.00
Space group P4/mmm (No. 123)
Asymmetric unit:
La1 0.000 0.500 0.000 x2
Co1 0.000 0.000 0.500 x1
Ag1 0.500 0.500 0.500 x1
H1 0.000 0.000 0.000 x1

=====

[2]
# LiCo2AgH

A relaxed LiCo2AgH crystal (PBE, Alexandria via LeMat-Bulk).

a b c (Å): 3.561 3.561 4.207
angles (deg): 90.00 90.00 90.00
Space group P4/mmm (No. 123)
Asymmetric unit:
Li1 0.000 0.000 0.000 x1
Co1 0.000 0.500 0.500 x2
Ag1 0.500 0.500 0.000 x1
H1 0.000 0.000 0.500 x1

=====

The following D(E_F) values (in states/eV/f.u.) correspond, in order, to the records above: 3.16 4.75.
The following calculated total energy values (in eV/f.u.) correspond, in order, to the records above: -24.20 -21.79.